The following is a PBE calculation of a relaxed La14CeEr crystal, from Alexandria via LeMat-Bulk.

Values from the calculation:
- space group = No. 38
- energy relative to the elements (eV/atom) = 0.02
- V (Å³ per atom) = 35.7
- magnetization (Bohr magnetons per cell) = 1.38

abc: 7.3789 7.3789 10.5017
angles: 90.00 90.00 90.00
With the nearest neighbours (Å) after each atom.
Element x y z (fractional)
La1 0.3772 0.1267 0.0000  8 La 3.66, 2 Ce 3.67-3.70, 2 Er 3.68-3.70
La2 0.6279 0.8779 0.2446  1 Ce 3.64, 10 La 3.64-3.76, 1 Er 3.68
La3 0.1221 0.3721 0.7554  1 Ce 3.64, 10 La 3.64-3.76, 1 Er 3.68
La4 0.6276 0.3724 0.2464  10 La 3.65-3.75, 1 Ce 3.66, 1 Er 3.69
La5 0.1221 0.3721 0.2446  1 Ce 3.64, 10 La 3.64-3.76, 1 Er 3.68
La6 0.8733 0.6228 0.0000  8 La 3.66, 2 Ce 3.67-3.70, 2 Er 3.68-3.70
La7 0.8749 0.1251 0.5000  12 La 3.68-3.73
La8 0.1218 0.8782 0.7573  1 Ce 3.62, 10 La 3.64-3.78, 1 Er 3.67
La9 0.8774 0.6269 0.5000  12 La 3.67-3.74
La10 0.3731 0.1226 0.5000  12 La 3.67-3.74
La11 0.6279 0.8779 0.7554  1 Ce 3.64, 10 La 3.64-3.76, 1 Er 3.68
La12 0.1218 0.8782 0.2427  1 Ce 3.62, 10 La 3.64-3.78, 1 Er 3.67
La13 0.3749 0.6251 0.5000  12 La 3.67-3.78
La14 0.6276 0.3724 0.7536  10 La 3.65-3.75, 1 Ce 3.66, 1 Er 3.69
Ce1 0.8752 0.1248 0.0000  12 La 3.62-3.70
Er1 0.3750 0.6250 0.0000  12 La 3.67-3.70

The following is a PBE calculation of a relaxed La8CeEr3 crystal, from Alexandria via LeMat-Bulk.

Values from the calculation:
- space group = No. 121
- energy relative to the elements (eV/atom) = 0.47
- V (Å³ per atom) = 37.6
- magnetization (Bohr magnetons per cell) = 0.00

abc: 8.5381 8.5381 8.5381
angles: 93.28 118.13 118.13
With the nearest neighbours (Å) after each atom.
Element x y z (fractional)
La1 0.0000 0.7889 0.2553  1 Ce 2.91
La2 0.0000 0.6392 0.8795  2 La 2.98-3.32, 1 Ce 3.19
La3 0.0000 0.8795 0.6392  2 La 2.98-3.32, 1 Ce 3.19
La4 0.7597 0.1205 0.1205  2 La 2.98-3.32, 1 Ce 3.19
La5 0.5336 0.7447 0.7447  1 Ce 2.91
La6 0.4664 0.2111 0.2111  1 Ce 2.91
La7 0.2403 0.3608 0.3608  2 La 2.98-3.32, 1 Ce 3.19
La8 0.0000 0.2553 0.7889  1 Ce 2.91
Er1 0.0000 0.5000 0.5000  8 La 3.32-3.39
Er2 0.5000 0.7500 0.2500  4 La 3.50
Er3 0.5000 0.2500 0.7500  4 La 3.50
Ce1 0.0000 0.0000 0.0000  8 La 2.91-3.19

The following is a PBE calculation of a relaxed LaCe2Er crystal, from Alexandria via LeMat-Bulk.

Values from the calculation:
- space group = No. 123
- energy relative to the elements (eV/atom) = 0.11
- V (Å³ per atom) = 30.6
- magnetization (Bohr magnetons per cell) = 1.22

abc: 3.4755 3.4755 10.1288
angles: 90.00 90.00 90.00
With the nearest neighbours (Å) after each atom.
Element x y z (fractional)
Ce1 0.0000 0.0000 0.7517  4 Ce 3.48, 4 Er 3.52, 4 La 3.54
Ce2 0.0000 0.0000 0.2483  4 Ce 3.48, 4 Er 3.52, 4 La 3.54
Er1 0.5000 0.5000 0.0000  4 Er 3.48, 8 Ce 3.52
La1 0.5000 0.5000 0.5000  4 La 3.48, 8 Ce 3.54

The following is a PBE calculation of a relaxed La6CeEr8 crystal, from Alexandria via LeMat-Bulk.

Values from the calculation:
- space group = No. 148
- energy relative to the elements (eV/atom) = 0.12
- V (Å³ per atom) = 33.4
- magnetization (Bohr magnetons per cell) = 1.18

abc: 8.7858 8.7858 8.7858
angles: 61.98 61.98 61.98
With the nearest neighbours (Å) after each atom.
Element x y z (fractional)
Ce1 0.0000 0.0000 0.0000  6 La 3.46, 6 Er 3.55
Er1 0.4232 0.4232 0.4232  4 Er 3.25-3.42, 3 La 3.55
Er2 0.1144 0.6990 0.7722  3 La 3.36-3.55, 5 Er 3.42-3.48, 1 Ce 3.55
Er3 0.8856 0.3010 0.2278  3 La 3.36-3.55, 5 Er 3.42-3.48, 1 Ce 3.55
Er4 0.5768 0.5768 0.5768  4 Er 3.25-3.42, 3 La 3.55
Er5 0.2278 0.8856 0.3010  3 La 3.36-3.55, 5 Er 3.42-3.48, 1 Ce 3.55
Er6 0.3010 0.2278 0.8856  3 La 3.36-3.55, 5 Er 3.42-3.48, 1 Ce 3.55
Er7 0.7722 0.1144 0.6990  3 La 3.36-3.55, 5 Er 3.42-3.48, 1 Ce 3.55
Er8 0.6990 0.7722 0.1144  3 La 3.36-3.55, 5 Er 3.42-3.48, 1 Ce 3.55
La1 0.4613 0.7662 0.9104  4 Er 3.36-3.55, 1 Ce 3.46, 2 La 3.59
La2 0.7662 0.9104 0.4613  4 Er 3.36-3.55, 1 Ce 3.46, 2 La 3.59
La3 0.2338 0.0896 0.5387  4 Er 3.36-3.55, 1 Ce 3.46, 2 La 3.59
La4 0.9104 0.4613 0.7662  4 Er 3.36-3.55, 1 Ce 3.46, 2 La 3.59
La5 0.0896 0.5387 0.2338  4 Er 3.36-3.55, 1 Ce 3.46, 2 La 3.59
La6 0.5387 0.2338 0.0896  4 Er 3.36-3.55, 1 Ce 3.46, 2 La 3.59